CsSr2VF8 | the Alexandria database | PBE+U | relaxed; total DFT energy (no corrections) = -5.567 eV/atom; density of states at the Fermi level = 0.000 states/eV/atom; space group = P-1
1.0
5.462 0.000 0.000
0.994 5.380 0.000
0.579 2.476 7.179
Cs Sr V F
1 2 1 8
Direct
0.000 0.000 0.000 Cs
0.470 0.382 0.275 Sr
0.530 0.618 0.725 Sr
0.000 0.000 0.500 V
0.025 0.298 0.270 F
0.249 0.739 0.418 F
0.281 0.085 0.601 F
0.458 0.271 0.996 F
0.542 0.729 0.004 F
0.719 0.915 0.399 F
0.751 0.261 0.582 F
0.975 0.702 0.730 F